The following is a DFT calculation (GGA-PBEsol) of a geometry-optimized BaTi3B structure.

The space group is Pm-3m (No. 221) and the conventional cell measures 4.511, 4.511 and 4.511 Å, with angles of 90.00, 90.00 and 90.00 degrees. The asymmetric unit holds Ba at (0.000, 0.000, 0.000), Ti at (0.000, 0.500, 0.500) and B at (0.500, 0.500, 0.500).

The value obtained for the offset from the most stable computed form is 0.000 kcal/mol of atoms. For the magnetic moment, the calculation gives 0.00 μB/f.u. Its density of states at the Fermi level is 1.469 states/eV/atom. As for the formation energy: 2.07 eV/f.u.